A geometry-optimized CaTeW3 structure, computed with PBEsol.

Calculated values
N(E_F): 5.90 states/eV/f.u.
ΔE_f (raw): 2.099 eV/atom
Uncorrected energy: -7.317 eV per atom
Calculated volume: 118.5 Å³/cell

```
CaTeW3
1.0
-2.7758 3.3298 -2.3083
0.8538 -2.2545 -4.2789
-3.9606 -2.8197 0.6953
Ca Te W
1 1 3
direct
0.5000 0.5000 0.5000
0.0000 0.0000 0.0000
0.0000 0.5000 0.0000
0.0000 0.0000 0.5000
0.5000 0.0000 0.0000
```